# 1
The following is a DFT calculation (GGA-PBE) of a geometry-optimized Tb7NdEr4 structure.

Unit cell a=5.879 b=11.515 c=6.689 alpha=83.10 beta=63.93 gamma=75.21
Fractional positions:
Tb 0.633 0.496 0.237
Tb 0.211 0.078 0.501
Tb 0.941 0.330 0.788
Tb 0.059 0.670 0.212
Tb 0.500 0.000 0.000
Tb 0.367 0.504 0.763
Tb 0.789 0.922 0.499
Er 0.367 0.775 0.491
Er 0.633 0.225 0.509
Er 0.748 0.684 0.819
Er 0.252 0.316 0.181
Nd 0.000 0.000 0.000

magnetic moment = 0.00 μB/f.u.
volume = 393.3 Å³ per cell
ΔE_f = 0.2728 eV per atom
VASP energy = -4.3465 eV per atom
SG = C2/m

=====

# 2
The following is a DFT calculation (GGA-PBE) of a geometry-optimized Tb4NdEr structure.

Unit cell a=6.907 b=6.907 c=9.764 alpha=90.00 beta=90.00 gamma=121.73
Fractional positions:
Tb 0.347 0.653 0.430
Tb 0.154 0.362 0.750
Tb 0.653 0.347 0.570
Tb 0.846 0.638 0.250
Tb 0.653 0.347 0.930
Tb 0.362 0.154 0.250
Tb 0.638 0.846 0.750
Tb 0.347 0.653 0.070
Nd 0.177 0.823 0.750
Nd 0.823 0.177 0.250
Er 0.000 0.000 0.500
Er 0.000 0.000 0.000

magnetic moment = 0.00 μB/f.u.
volume = 396.2 Å³ per cell
ΔE_f = 0.2477 eV per atom
VASP energy = -4.3943 eV per atom
SG = Cmcm

=====

# 3
The following is a DFT calculation (GGA-PBE) of a geometry-optimized TbNdEr6 structure.

Unit cell a=6.755 b=6.755 c=9.417 alpha=110.74 beta=110.74 gamma=121.20
Fractional positions:
Er 0.170 0.670 0.246
Er 0.830 0.330 0.754
Er 0.330 0.830 0.754
Er 0.716 0.716 0.249
Er 0.670 0.170 0.246
Er 0.284 0.284 0.751
Tb 0.000 0.000 0.000
Nd 0.500 0.500 0.500

magnetic moment = 0.00 μB/f.u.
volume = 254.5 Å³ per cell
ΔE_f = 0.2289 eV per atom
VASP energy = -4.3680 eV per atom
SG = C2/m

=====

# 4
The following is a DFT calculation (GGA-PBE) of a geometry-optimized Tb3Nd4Er4 structure.

Unit cell a=5.690 b=6.661 c=10.660 alpha=90.00 beta=90.00 gamma=115.29
Fractional positions:
Tb 0.411 0.822 0.712
Tb 0.254 0.508 0.000
Tb 0.411 0.822 0.288
Nd 0.755 0.510 0.791
Nd 0.961 0.921 0.000
Nd 0.755 0.510 0.209
Nd 0.882 0.764 0.500
Er 0.104 0.208 0.303
Er 0.104 0.208 0.697
Er 0.609 0.219 0.500
Er 0.553 0.107 0.000

magnetic moment = 0.00 μB/f.u.
volume = 365.3 Å³ per cell
ΔE_f = 0.1516 eV per atom
VASP energy = -4.5041 eV per atom
SG = Amm2

=====

# 5
The following is a DFT calculation (GGA-PBE) of a geometry-optimized Tb4Nd2Er7 structure.

Unit cell a=6.043 b=6.043 c=13.373 alpha=90.00 beta=90.00 gamma=120.00
Fractional positions:
Er 0.000 0.350 0.215
Er 0.650 0.650 0.215
Er 0.350 0.350 0.785
Er 0.650 0.000 0.785
Er 0.000 0.000 0.000
Er 0.350 0.000 0.215
Er 0.000 0.650 0.785
Nd 0.667 0.333 0.000
Nd 0.333 0.667 0.000
Tb 0.333 0.667 0.500
Tb 0.667 0.333 0.500
Tb 0.000 0.000 0.395
Tb 0.000 0.000 0.605

magnetic moment = 0.00 μB/f.u.
volume = 423.0 Å³ per cell
ΔE_f = 0.1804 eV per atom
VASP energy = -4.4348 eV per atom
SG = P-31m

=====

# 6
The following is a DFT calculation (GGA-PBE) of a geometry-optimized TbNd12Er6 structure.

Unit cell a=9.571 b=9.571 c=9.571 alpha=110.90 beta=110.90 gamma=110.90
Fractional positions:
Nd 0.896 0.843 0.263
Nd 0.943 0.420 0.628
Nd 0.737 0.104 0.157
Nd 0.057 0.580 0.372
Nd 0.580 0.372 0.057
Nd 0.372 0.057 0.580
Nd 0.843 0.263 0.896
Nd 0.420 0.628 0.943
Nd 0.157 0.737 0.104
Nd 0.263 0.896 0.843
Nd 0.104 0.157 0.737
Nd 0.628 0.943 0.420
Er 0.786 0.683 0.528
Er 0.528 0.786 0.683
Er 0.472 0.214 0.317
Er 0.317 0.472 0.214
Er 0.214 0.317 0.472
Er 0.683 0.528 0.786
Tb 0.000 0.000 0.000

magnetic moment = 0.00 μB/f.u.
volume = 636.9 Å³ per cell
ΔE_f = 0.0166 eV per atom
VASP energy = -4.6793 eV per atom
SG = R-3

=====

# 7
The following is a DFT calculation (GGA-PBE) of a geometry-optimized TbNd4Er5 structure.

Unit cell a=5.933 b=8.113 c=8.113 alpha=82.32 beta=68.55 gamma=68.55
Fractional positions:
Er 0.758 0.378 0.000
Er 0.758 0.000 0.378
Er 0.136 0.000 0.622
Er 0.136 0.622 0.000
Er 0.687 0.000 0.000
Nd 0.456 0.676 0.323
Nd 0.456 0.324 0.677
Nd 0.133 0.323 0.324
Nd 0.780 0.677 0.676
Tb 0.210 0.000 0.000

magnetic moment = 0.00 μB/f.u.
volume = 338.3 Å³ per cell
ΔE_f = 0.2401 eV per atom
VASP energy = -4.4115 eV per atom
SG = I4mm

=====

# 8
The following is a DFT calculation (GGA-PBE) of a geometry-optimized TbNd6Er structure.

Unit cell a=5.153 b=5.153 c=10.301 alpha=90.00 beta=90.00 gamma=90.00
Fractional positions:
Nd 0.500 0.500 0.500
Nd 0.000 0.500 0.251
Nd 0.000 0.500 0.749
Nd 0.500 0.000 0.749
Nd 0.500 0.500 0.000
Nd 0.500 0.000 0.251
Er 0.000 0.000 0.500
Tb 0.000 0.000 0.000

magnetic moment = 0.00 μB/f.u.
volume = 273.5 Å³ per cell
ΔE_f = 0.0153 eV per atom
VASP energy = -4.7097 eV per atom
SG = P4/mmm

=====

# 9
The following is a DFT calculation (GGA-PBE) of a geometry-optimized Tb4NdEr10 structure.

Unit cell a=7.647 b=9.371 c=9.371 alpha=80.42 beta=65.92 gamma=65.92
Fractional positions:
Er 0.151 0.302 0.899
Er 0.050 0.101 0.302
Er 0.250 0.500 0.500
Er 0.453 0.899 0.698
Er 0.750 0.500 0.500
Er 0.849 0.698 0.101
Er 0.352 0.698 0.101
Er 0.648 0.302 0.899
Er 0.547 0.101 0.302
Er 0.950 0.899 0.698
Nd 0.000 0.000 0.000
Tb 0.600 0.200 0.600
Tb 0.800 0.600 0.800
Tb 0.400 0.800 0.400
Tb 0.200 0.400 0.200

magnetic moment = 0.01 μB/f.u.
volume = 559.8 Å³ per cell
ΔE_f = 0.7472 eV per atom
VASP energy = -3.8473 eV per atom
SG = I4/m

=====

# 10
The following is a DFT calculation (GGA-PBE) of a geometry-optimized TbNd6Er5 structure.

Unit cell a=11.797 b=6.252 c=6.251 alpha=59.99 beta=84.95 gamma=79.87
Fractional positions:
Er 0.000 0.333 0.333
Er 0.000 0.667 0.667
Er 0.500 0.167 0.666
Er 0.500 0.500 0.000
Er 0.500 0.833 0.334
Nd 0.251 0.584 0.334
Nd 0.749 0.416 0.666
Nd 0.250 0.251 0.000
Nd 0.749 0.083 0.334
Nd 0.251 0.917 0.666
Nd 0.750 0.749 0.000
Tb 0.000 0.000 0.000

magnetic moment = 0.00 μB/f.u.
volume = 393.0 Å³ per cell
ΔE_f = 0.0126 eV per atom
VASP energy = -4.6583 eV per atom
SG = C2/m